# PBE+U Rb2TlV2F7, relaxed
# Electronic total energy = -5.270 eV/atom
# Total moment = 6.00 μB/f.u.
# V = 411.8 Å³/cell
data_Rb2TlV2F7
_chemical_formula_sum 'Rb4 Tl2 V4 F14'
_cell_length_a 6.0336
_cell_length_b 6.0389
_cell_length_c 11.6842
_cell_angle_alpha 90.00
_cell_angle_beta 104.70
_cell_angle_gamma 90.00
_space_group_name_H-M_alt 'C 1 2/m 1'
_space_group_IT_number 12
loop_
_space_group_symop_operation_xyz
'x,y,z'
'-x,-y,-z'
'-x,y,-z'
'x,-y,z'
'x+1/2,y+1/2,z'
'-x+1/2,-y+1/2,-z'
'-x+1/2,y+1/2,-z'
'x+1/2,-y+1/2,z'
loop_
_atom_site_label
_atom_site_type_symbol
_atom_site_fract_x
_atom_site_fract_y
_atom_site_fract_z
Rb1 Rb 0.1836 0.0000 0.3721
Tl1 Tl 0.0000 0.0000 0.0000
V1 V 0.0935 0.5000 0.1904
F1 F 0.0000 0.5000 0.0000
F2 F 0.1563 0.2503 0.8084
F3 F 0.1866 0.5000 0.3779